Record 1
SmHo7Zn4: optimized geometry, PBE-GGA.

Values from the calculation:
crystal system: monoclinic
energy of formation: 0.005 eV/atom
total moment: 0.37 Bohr magnetons per cell

Cell lengths 13.918, 5.528, 9.634 Å; angles 90.00, 122.78, 90.00 degrees
Space group C2/m (No. 12)
Symmetry-distinct sites (fractional):
1 Sm 0.000 0.000 0.000 [2 per cell]
2 Ho 0.000 0.500 0.000 [2 per cell]
3 Ho 0.071 0.000 0.407 [4 per cell]
4 Ho 0.209 0.000 0.880 [4 per cell]
5 Ho 0.222 0.500 0.673 [4 per cell]
6 Zn 0.040 0.500 0.730 [4 per cell]
7 Zn 0.179 0.500 0.338 [4 per cell]

=====

Record 2
Pr4Nd2Sc: optimized geometry, PBE-GGA.

Values from the calculation:
crystal system: orthorhombic
energy of formation: 0.465 eV/atom
total moment: 0.00 Bohr magnetons per cell
energy above the most stable polymorph in this dataset: 412 meV/atom

Cell lengths 6.215, 13.135, 6.017 Å; angles 90.00, 90.00, 90.00 degrees
Space group Cmmm (No. 65)
Symmetry-distinct sites (fractional):
1 Pr 0.000 0.134 0.000 [4 per cell]
2 Pr 0.000 0.311 0.500 [4 per cell]
3 Nd 0.000 0.390 0.000 [4 per cell]
4 Sc 0.000 0.000 0.500 [2 per cell]

=====

Record 3
Y2ScAlC: optimized geometry, PBE-GGA.

Values from the calculation:
crystal system: tetragonal
energy of formation: -0.468 eV/atom
total moment: 0.00 Bohr magnetons per cell

Cell lengths 4.898, 4.898, 4.531 Å; angles 90.00, 90.00, 90.00 degrees
Space group P4/mmm (No. 123)
Symmetry-distinct sites (fractional):
1 Y 0.000 0.500 0.000 [2 per cell]
2 Sc 0.000 0.000 0.500 [1 per cell]
3 Al 0.500 0.500 0.500 [1 per cell]
4 C 0.000 0.000 0.000 [1 per cell]

=====

Record 4
TaCd2Br: optimized geometry, PBE-GGA.

Values from the calculation:
crystal system: monoclinic
total moment: 0.00 Bohr magnetons per cell
energy above the most stable polymorph in this dataset: 282 meV/atom
raw formation energy: 0.294 eV/atom

Cell lengths 3.120, 4.859, 5.624 Å; angles 90.00, 94.34, 90.00 degrees
Space group Pm (No. 6)
Symmetry-distinct sites (fractional):
1 Ta 0.000 0.000 0.000 [1 per cell]
2 Cd 0.430 0.000 0.515 [1 per cell]
3 Cd 0.542 0.500 0.234 [1 per cell]
4 Br 0.969 0.500 0.783 [1 per cell]

=====

Record 5
NaNbAs2Br: optimized geometry, PBE-GGA.

Values from the calculation:
crystal system: tetragonal
total moment: 1.83 Bohr magnetons per cell
energy above the most stable polymorph in this dataset: 1349 meV/atom
raw formation energy: 1.083 eV/atom

Cell lengths 4.937, 4.937, 5.080 Å; angles 90.00, 90.00, 90.00 degrees
Space group P4/mmm (No. 123)
Symmetry-distinct sites (fractional):
1 Na 0.000 0.000 0.000 [1 per cell]
2 Nb 0.500 0.500 0.500 [1 per cell]
3 As 0.000 0.500 0.000 [2 per cell]
4 Br 0.000 0.000 0.500 [1 per cell]

=====

Record 6
Ac2ErSi: optimized geometry, PBE-GGA.

Values from the calculation:
crystal system: trigonal
total moment: 0.27 Bohr magnetons per cell
energy above the most stable polymorph in this dataset: 282 meV/atom
raw formation energy: 0.213 eV/atom

Cell lengths 4.1143, 4.1143, 33.0832 Å; angles 90.00, 90.00, 120.00 degrees
Space group R-3m (No. 166, hexagonal axes)
Symmetry-distinct sites (fractional):
1 Ac 0.0000 0.0000 0.1101 [6 per cell]
2 Er 0.0000 0.0000 0.0000 [3 per cell]
3 Si 0.0000 0.0000 0.5000 [3 per cell]

=====

Record 7
NdBi2Sb: optimized geometry, PBE-GGA.

Values from the calculation:
crystal system: trigonal
total moment: 0.00 Bohr magnetons per cell
energy above the most stable polymorph in this dataset: 678 meV/atom
raw formation energy: 0.220 eV/atom

Cell lengths 4.0392, 4.0392, 31.3533 Å; angles 90.00, 90.00, 120.00 degrees
Space group R-3m (No. 166, hexagonal axes)
Symmetry-distinct sites (fractional):
1 Nd 0.0000 0.0000 0.0000 [3 per cell]
2 Bi 0.0000 0.0000 0.1022 [6 per cell]
3 Sb 0.0000 0.0000 0.5000 [3 per cell]

=====

Record 8
CsPrZn2F8: optimized geometry, PBE-GGA.

Values from the calculation:
crystal system: trigonal
total moment: 0.24 Bohr magnetons per cell
raw formation energy: -2.903 eV/atom

Cell lengths 5.5393, 5.5393, 26.1571 Å; angles 90.00, 90.00, 120.00 degrees
Space group R32 (No. 155, hexagonal axes)
Symmetry-distinct sites (fractional):
1 Cs 0.0000 0.0000 0.0000 [3 per cell]
2 Pr 0.0000 0.0000 0.5000 [3 per cell]
3 Zn 0.0000 0.0000 0.2542 [6 per cell]
4 F 0.0000 0.0000 0.3252 [6 per cell]
5 F 0.0062 0.3575 0.8885 [18 per cell]